[1]
# HfVRe

A relaxed HfVRe crystal (PBE, Alexandria via LeMat-Bulk).

## Properties
**Final energy**: -10.341 eV per atom
**Calculated formation energy**: 0.166 eV per atom
**ΔE to the lowest computed polymorph**: 584 meV per atom
**Space group**: Fmmm (69)

extended XYZ file:
```
6
Lattice="4.997 0.031 0.000 -2.365 4.402 0.000 -1.316 -2.217 4.532" Properties=species:S:1:pos:R:3 pbc="T T T"
V 2.499 0.016 2.266
V -1.183 2.201 2.266
Re 0.000 0.000 1.358
Re 1.316 2.217 3.174
Hf 0.088 2.945 0.000
Hf 2.543 1.488 0.000
```

***

[2]
# LaIn2Os

A relaxed LaIn2Os crystal (PBE, Alexandria via LeMat-Bulk).

## Properties
**Final energy**: -5.334 eV per atom
**Calculated formation energy**: 0.075 eV per atom
**Space group**: P2/m (10)

extended XYZ file:
```
4
Lattice="-0.136 4.419 -2.238 -3.533 -0.598 -0.966 -2.904 2.003 4.131" Properties=species:S:1:pos:R:3 pbc="T T T"
La -1.677 2.561 -0.328
In -5.948 1.407 3.138
In -3.708 0.701 1.608
Os -4.896 3.263 1.254
```